Version i
Material: CsLiGeHBr
Method: DFT, PBE
State: optimized geometry

The structure in CIF format:
```
data_CsLiGeHBr
_chemical_formula_sum 'Cs2 Li2 Ge2 H2 Br2'
_cell_length_a 3.872
_cell_length_b 4.025
_cell_length_c 17.165
_cell_angle_alpha 90.00
_cell_angle_beta 90.00
_cell_angle_gamma 90.00
_symmetry_space_group_name_H-M 'I m m 2'
_symmetry_Int_Tables_number 44
loop_
_symmetry_equiv_pos_as_xyz
'x,y,z'
'-x,-y,z'
'-x,y,z'
'x,-y,z'
'x+1/2,y+1/2,z+1/2'
'-x+1/2,-y+1/2,z+1/2'
'-x+1/2,y+1/2,z+1/2'
'x+1/2,-y+1/2,z+1/2'
loop_
_atom_site_label
_atom_site_type_symbol
_atom_site_fract_x
_atom_site_fract_y
_atom_site_fract_z
Cs1 Cs 0.000 0.000 0.000
Li1 Li 0.000 0.500 0.773
Ge1 Ge 0.000 0.000 0.649
H1 H 0.000 0.000 0.744
Br1 Br 0.000 0.000 0.369
```

Version ii
Material: CsLiGeHBr
Method: DFT, PBE
State: optimized geometry

The structure in CIF format:
```
data_CsLiGeHBr
_chemical_formula_sum 'Cs2 Li2 Ge2 H2 Br2'
_cell_length_a 16.014
_cell_length_b 3.651
_cell_length_c 5.788
_cell_angle_alpha 90.00
_cell_angle_beta 93.29
_cell_angle_gamma 90.00
_symmetry_space_group_name_H-M 'C 1 m 1'
_symmetry_Int_Tables_number 8
loop_
_symmetry_equiv_pos_as_xyz
'x,y,z'
'x,-y,z'
'x+1/2,y+1/2,z'
'x+1/2,-y+1/2,z'
loop_
_atom_site_label
_atom_site_type_symbol
_atom_site_fract_x
_atom_site_fract_y
_atom_site_fract_z
Cs1 Cs 0.000 0.000 0.000
Li1 Li 0.197 0.500 0.621
Ge1 Ge 0.271 0.000 0.963
H1 H 0.242 0.000 0.678
Br1 Br 0.050 0.500 0.506
```

Going by the computed energies, the most stable comes first: version i, version ii.

Version i
Material: CsLiGeHBr
Method: DFT, PBE
State: optimized geometry

The structure in CIF format:
```
data_CsLiGeHBr
_chemical_formula_sum 'Cs1 Li1 Ge1 H1 Br1'
_cell_length_a 3.584
_cell_length_b 4.779
_cell_length_c 8.611
_cell_angle_alpha 105.24
_cell_angle_beta 95.78
_cell_angle_gamma 92.35
_symmetry_space_group_name_H-M 'P 1'
_symmetry_Int_Tables_number 1
loop_
_symmetry_equiv_pos_as_xyz
'x,y,z'
loop_
_atom_site_label
_atom_site_type_symbol
_atom_site_fract_x
_atom_site_fract_y
_atom_site_fract_z
Cs1 Cs 0.000 0.000 0.000
Li1 Li 0.884 0.316 0.540
Ge1 Ge 0.603 0.627 0.318
H1 H 0.645 0.982 0.362
Br1 Br 0.435 0.379 0.752
```

Version ii
Material: CsLiGeHBr
Method: DFT, PBE
State: optimized geometry

The structure in CIF format:
```
data_CsLiGeHBr
_chemical_formula_sum 'Cs1 Li1 Ge1 H1 Br1'
_cell_length_a 3.951
_cell_length_b 3.711
_cell_length_c 8.981
_cell_angle_alpha 90.00
_cell_angle_beta 102.67
_cell_angle_gamma 90.00
_symmetry_space_group_name_H-M 'P 1 m 1'
_symmetry_Int_Tables_number 6
loop_
_symmetry_equiv_pos_as_xyz
'x,y,z'
'x,-y,z'
loop_
_atom_site_label
_atom_site_type_symbol
_atom_site_fract_x
_atom_site_fract_y
_atom_site_fract_z
Cs1 Cs 0.000 0.000 0.000
Li1 Li 0.277 0.000 0.527
Ge1 Ge 0.654 0.500 0.306
H1 H 0.739 0.500 0.489
Br1 Br 0.370 0.500 0.740
```

Going by the computed energies, the most stable comes first: version ii, version i.

Version i
Material: CsGeSe2Br
Method: DFT, PBE
State: optimized geometry

The structure in CIF format:
```
data_CsGeSe2Br
_chemical_formula_sum 'Cs1 Ge1 Se2 Br1'
_cell_length_a 5.705
_cell_length_b 5.705
_cell_length_c 6.344
_cell_angle_alpha 90.00
_cell_angle_beta 90.00
_cell_angle_gamma 90.00
_symmetry_space_group_name_H-M 'P 4/m m m'
_symmetry_Int_Tables_number 123
_symmetry_space_group_name_Hall '-P 4 2'
loop_
_atom_site_label
_atom_site_type_symbol
_atom_site_fract_x
_atom_site_fract_y
_atom_site_fract_z
Cs1 Cs 0.000 0.000 0.000
Ge1 Ge 0.500 0.500 0.500
Se1 Se 0.000 0.500 0.000
Br1 Br 0.000 0.000 0.500
```

Version ii
Material: CsGeSe2Br
Method: DFT, PBE
State: optimized geometry

The structure in CIF format:
```
data_CsGeSe2Br
_chemical_formula_sum 'Cs1 Ge1 Se2 Br1'
_cell_length_a 5.103
_cell_length_b 5.103
_cell_length_c 5.970
_cell_angle_alpha 90.00
_cell_angle_beta 90.00
_cell_angle_gamma 90.00
_symmetry_space_group_name_H-M 'P 4/m m m'
_symmetry_Int_Tables_number 123
_symmetry_space_group_name_Hall '-P 4 2'
loop_
_atom_site_label
_atom_site_type_symbol
_atom_site_fract_x
_atom_site_fract_y
_atom_site_fract_z
Cs1 Cs 0.000 0.000 0.000
Ge1 Ge 0.500 0.500 0.500
Se1 Se 0.000 0.500 0.500
Br1 Br 0.500 0.500 0.000
```

Going by the computed energies, the most stable comes first: version ii, version i.

Version i
Material: Cs2H2Br
Method: DFT, PBE
State: optimized geometry

The structure in CIF format:
```
data_Cs2H2Br
_chemical_formula_sum 'Cs2 H2 Br1'
_cell_length_a 5.260
_cell_length_b 5.260
_cell_length_c 9.176
_cell_angle_alpha 82.88
_cell_angle_beta 82.99
_cell_angle_gamma 62.12
_symmetry_space_group_name_H-M 'P -1'
_symmetry_Int_Tables_number 2
loop_
_symmetry_equiv_pos_as_xyz
'x,y,z'
'-x,-y,-z'
loop_
_atom_site_label
_atom_site_type_symbol
_atom_site_fract_x
_atom_site_fract_y
_atom_site_fract_z
Cs1 Cs 0.199 0.199 0.268
H1 H 0.072 0.929 0.000
Br1 Br 0.500 0.500 0.500
```

Version ii
Material: Cs2H2Br
Method: DFT, PBE
State: optimized geometry

The structure in CIF format:
```
data_Cs2H2Br
_chemical_formula_sum 'Cs4 H4 Br2'
_cell_length_a 8.756
_cell_length_b 8.756
_cell_length_c 4.371
_cell_angle_alpha 90.00
_cell_angle_beta 90.00
_cell_angle_gamma 90.00
_symmetry_space_group_name_H-M 'P 4/m b m'
_symmetry_Int_Tables_number 127
_symmetry_space_group_name_Hall '-P 4 2ab'
loop_
_atom_site_label
_atom_site_type_symbol
_atom_site_fract_x
_atom_site_fract_y
_atom_site_fract_z
Cs1 Cs 0.190 0.310 0.000
H1 H 0.033 0.533 0.500
Br1 Br 0.000 0.000 0.500
```

Going by the computed energies, the most stable comes first: version i, version ii.

Version i
Material: CsHBr3
Method: DFT, PBE
State: optimized geometry

The structure in CIF format:
```
data_CsHBr3
_chemical_formula_sum 'Cs4 H4 Br12'
_cell_length_a 7.767
_cell_length_b 13.590
_cell_length_c 7.067
_cell_angle_alpha 90.00
_cell_angle_beta 90.00
_cell_angle_gamma 90.00
_symmetry_space_group_name_H-M 'C m c 21'
_symmetry_Int_Tables_number 36
loop_
_symmetry_equiv_pos_as_xyz
'x,y,z'
'-x,-y,z+1/2'
'-x,y,z'
'x,-y,z+1/2'
'x+1/2,y+1/2,z'
'-x+1/2,-y+1/2,z+1/2'
'-x+1/2,y+1/2,z'
'x+1/2,-y+1/2,z+1/2'
loop_
_atom_site_label
_atom_site_type_symbol
_atom_site_fract_x
_atom_site_fract_y
_atom_site_fract_z
Cs1 Cs 0.000 0.147 0.000
H1 H 0.000 0.489 0.505
Br1 Br 0.000 0.383 0.502
Br2 Br 0.185 0.122 0.500
```

Version ii
Material: CsHBr3
Method: DFT, PBE
State: optimized geometry

The structure in CIF format:
```
data_CsHBr3
_chemical_formula_sum 'Cs2 H2 Br6'
_cell_length_a 6.640
_cell_length_b 6.450
_cell_length_c 8.770
_cell_angle_alpha 90.00
_cell_angle_beta 90.09
_cell_angle_gamma 90.00
_symmetry_space_group_name_H-M 'P 1 21/m 1'
_symmetry_Int_Tables_number 11
loop_
_symmetry_equiv_pos_as_xyz
'x,y,z'
'-x,-y,-z'
'-x,y+1/2,-z'
'x,-y+1/2,z'
loop_
_atom_site_label
_atom_site_type_symbol
_atom_site_fract_x
_atom_site_fract_y
_atom_site_fract_z
Cs1 Cs 0.249 0.250 0.199
H1 H 0.251 0.250 0.654
Br1 Br 0.251 0.511 0.643
Br2 Br 0.251 0.750 0.016
```

Version iii
Material: CsHBr3
Method: DFT, PBE
State: optimized geometry

The structure in CIF format:
```
data_CsHBr3
_chemical_formula_sum 'Cs1 H1 Br3'
_cell_length_a 7.116
_cell_length_b 7.116
_cell_length_c 7.116
_cell_angle_alpha 90.00
_cell_angle_beta 90.00
_cell_angle_gamma 90.00
_symmetry_space_group_name_H-M 'P m -3 m'
_symmetry_Int_Tables_number 221
_symmetry_space_group_name_Hall '-P 4 2 3'
loop_
_atom_site_label
_atom_site_type_symbol
_atom_site_fract_x
_atom_site_fract_y
_atom_site_fract_z
Cs1 Cs 0.000 0.000 0.000
H1 H 0.500 0.500 0.500
Br1 Br 0.000 0.000 0.500
```

Version iv
Material: CsHBr3
Method: DFT, PBE
State: optimized geometry

The structure in CIF format:
```
data_CsHBr3
_chemical_formula_sum 'Cs1 H1 Br3'
_cell_length_a 5.158
_cell_length_b 5.158
_cell_length_c 5.158
_cell_angle_alpha 90.00
_cell_angle_beta 90.00
_cell_angle_gamma 90.00
_symmetry_space_group_name_H-M 'P m -3 m'
_symmetry_Int_Tables_number 221
_symmetry_space_group_name_Hall '-P 4 2 3'
loop_
_atom_site_label
_atom_site_type_symbol
_atom_site_fract_x
_atom_site_fract_y
_atom_site_fract_z
Cs1 Cs 0.000 0.000 0.000
H1 H 0.500 0.500 0.500
Br1 Br 0.000 0.500 0.500
```

Going by the computed energies, the most stable comes first: version i, version ii, version iv, version iii.

Version i
Material: CsTlHRhSBr
Method: DFT, PBE
State: optimized geometry

The structure in CIF format:
```
data_CsTlHRhSBr
_chemical_formula_sum 'Cs1 Tl1 H1 Rh1 S1 Br1'
_cell_length_a 4.242
_cell_length_b 5.592
_cell_length_c 7.271
_cell_angle_alpha 103.15
_cell_angle_beta 99.34
_cell_angle_gamma 92.12
_symmetry_space_group_name_H-M 'P 1'
_symmetry_Int_Tables_number 1
loop_
_symmetry_equiv_pos_as_xyz
'x,y,z'
loop_
_atom_site_label
_atom_site_type_symbol
_atom_site_fract_x
_atom_site_fract_y
_atom_site_fract_z
Cs1 Cs 0.000 0.000 0.000
Tl1 Tl 0.523 0.368 0.588
H1 H 0.129 0.577 0.336
Rh1 Rh 0.430 0.768 0.409
S1 S 0.984 0.939 0.500
Br1 Br 0.530 0.523 0.077
```

Version ii
Material: CsTlHRhSBr
Method: DFT, PBE
State: optimized geometry

The structure in CIF format:
```
data_CsTlHRhSBr
_chemical_formula_sum 'Cs2 Tl2 H2 Rh2 S2 Br2'
_cell_length_a 14.489
_cell_length_b 3.909
_cell_length_c 5.723
_cell_angle_alpha 90.00
_cell_angle_beta 98.27
_cell_angle_gamma 90.00
_symmetry_space_group_name_H-M 'C 1 m 1'
_symmetry_Int_Tables_number 8
loop_
_symmetry_equiv_pos_as_xyz
'x,y,z'
'x,-y,z'
'x+1/2,y+1/2,z'
'x+1/2,-y+1/2,z'
loop_
_atom_site_label
_atom_site_type_symbol
_atom_site_fract_x
_atom_site_fract_y
_atom_site_fract_z
Cs1 Cs 0.000 0.000 0.000
Tl1 Tl 0.244 0.000 0.753
H1 H 0.204 0.500 0.272
Rh1 Rh 0.362 0.000 0.418
S1 S 0.298 0.500 0.262
Br1 Br 0.050 0.500 0.521
```

Version iii
Material: CsTlHRhSBr
Method: DFT, PBE
State: optimized geometry

The structure in CIF format:
```
data_CsTlHRhSBr
_chemical_formula_sum 'Cs1 Tl1 H1 Rh1 S1 Br1'
_cell_length_a 4.523
_cell_length_b 5.495
_cell_length_c 7.352
_cell_angle_alpha 86.83
_cell_angle_beta 72.28
_cell_angle_gamma 90.00
_symmetry_space_group_name_H-M 'P 1'
_symmetry_Int_Tables_number 1
loop_
_symmetry_equiv_pos_as_xyz
'x,y,z'
loop_
_atom_site_label
_atom_site_type_symbol
_atom_site_fract_x
_atom_site_fract_y
_atom_site_fract_z
Cs1 Cs 0.000 0.000 0.000
Tl1 Tl 0.726 0.530 0.557
H1 H 0.336 0.246 0.334
Rh1 Rh 0.746 0.027 0.517
S1 S 0.267 0.060 0.475
Br1 Br 0.492 0.501 0.015
```

Version iv
Material: CsTlHRhSBr
Method: DFT, PBE
State: optimized geometry

The structure in CIF format:
```
data_CsTlHRhSBr
_chemical_formula_sum 'Cs1 Tl1 H1 Rh1 S1 Br1'
_cell_length_a 5.450
_cell_length_b 4.538
_cell_length_c 7.021
_cell_angle_alpha 90.00
_cell_angle_beta 108.48
_cell_angle_gamma 90.00
_symmetry_space_group_name_H-M 'P 1 m 1'
_symmetry_Int_Tables_number 6
loop_
_symmetry_equiv_pos_as_xyz
'x,y,z'
'x,-y,z'
loop_
_atom_site_label
_atom_site_type_symbol
_atom_site_fract_x
_atom_site_fract_y
_atom_site_fract_z
Cs1 Cs 0.000 0.000 0.000
Tl1 Tl 0.322 0.500 0.539
H1 H 0.905 0.500 0.706
Rh1 Rh 0.790 0.500 0.473
S1 S 0.887 0.000 0.473
Br1 Br 0.519 0.500 0.046
```

Going by the computed energies, the most stable comes first: version iv, version iii, version i, version ii.

Version i
Material: CsTlHRhSBr
Method: DFT, PBE
State: optimized geometry

The structure in CIF format:
```
data_CsTlHRhSBr
_chemical_formula_sum 'Cs1 Tl1 H1 Rh1 S1 Br1'
_cell_length_a 4.428
_cell_length_b 5.563
_cell_length_c 7.665
_cell_angle_alpha 90.00
_cell_angle_beta 90.22
_cell_angle_gamma 90.00
_symmetry_space_group_name_H-M 'P 1 m 1'
_symmetry_Int_Tables_number 6
loop_
_symmetry_equiv_pos_as_xyz
'x,y,z'
'x,-y,z'
loop_
_atom_site_label
_atom_site_type_symbol
_atom_site_fract_x
_atom_site_fract_y
_atom_site_fract_z
Cs1 Cs 0.000 0.000 0.000
Tl1 Tl 0.503 0.500 0.432
H1 H 0.502 0.000 0.271
Rh1 Rh 0.503 0.000 0.474
S1 S 0.004 0.000 0.529
Br1 Br 0.500 0.500 0.027
```

Version ii
Material: CsTlHRhSBr
Method: DFT, PBE
State: optimized geometry

The structure in CIF format:
```
data_CsTlHRhSBr
_chemical_formula_sum 'Cs2 Tl2 H2 Rh2 S2 Br2'
_cell_length_a 12.919
_cell_length_b 3.824
_cell_length_c 6.572
_cell_angle_alpha 90.00
_cell_angle_beta 90.75
_cell_angle_gamma 90.00
_symmetry_space_group_name_H-M 'C 1 m 1'
_symmetry_Int_Tables_number 8
loop_
_symmetry_equiv_pos_as_xyz
'x,y,z'
'x,-y,z'
'x+1/2,y+1/2,z'
'x+1/2,-y+1/2,z'
loop_
_atom_site_label
_atom_site_type_symbol
_atom_site_fract_x
_atom_site_fract_y
_atom_site_fract_z
Cs1 Cs 0.000 0.000 0.000
Tl1 Tl 0.246 0.500 0.380
H1 H 0.121 0.500 0.726
Rh1 Rh 0.292 0.000 0.713
S1 S 0.213 0.500 0.835
Br1 Br 0.464 0.000 0.493
```

Version iii
Material: CsTlHRhSBr
Method: DFT, PBE
State: optimized geometry

The structure in CIF format:
```
data_CsTlHRhSBr
_chemical_formula_sum 'Cs2 Tl2 H2 Rh2 S2 Br2'
_cell_length_a 17.446
_cell_length_b 4.367
_cell_length_c 4.948
_cell_angle_alpha 90.00
_cell_angle_beta 106.28
_cell_angle_gamma 90.00
_symmetry_space_group_name_H-M 'C 1 m 1'
_symmetry_Int_Tables_number 8
loop_
_symmetry_equiv_pos_as_xyz
'x,y,z'
'x,-y,z'
'x+1/2,y+1/2,z'
'x+1/2,-y+1/2,z'
loop_
_atom_site_label
_atom_site_type_symbol
_atom_site_fract_x
_atom_site_fract_y
_atom_site_fract_z
Cs1 Cs 0.000 0.000 0.000
Tl1 Tl 0.255 0.500 0.254
H1 H 0.064 0.500 0.559
Rh1 Rh 0.159 0.500 0.658
S1 S 0.170 0.000 0.670
Br1 Br 0.397 0.000 0.399
```

Version iv
Material: CsTlHRhSBr
Method: DFT, PBE
State: optimized geometry

The structure in CIF format:
```
data_CsTlHRhSBr
_chemical_formula_sum 'Cs1 Tl1 H1 Rh1 S1 Br1'
_cell_length_a 5.660
_cell_length_b 3.909
_cell_length_c 7.376
_cell_angle_alpha 90.00
_cell_angle_beta 92.85
_cell_angle_gamma 90.00
_symmetry_space_group_name_H-M 'P 1 m 1'
_symmetry_Int_Tables_number 6
loop_
_symmetry_equiv_pos_as_xyz
'x,y,z'
'x,-y,z'
loop_
_atom_site_label
_atom_site_type_symbol
_atom_site_fract_x
_atom_site_fract_y
_atom_site_fract_z
Cs1 Cs 0.000 0.000 0.000
Tl1 Tl 0.184 0.500 0.501
H1 H 0.666 0.000 0.585
Rh1 Rh 0.553 0.500 0.273
S1 S 0.689 0.000 0.401
Br1 Br 0.491 0.500 0.910
```

Going by the computed energies, the most stable comes first: version i, version iii, version iv, version ii.

Version i
Material: CsTlHRhSBr
Method: DFT, PBE
State: optimized geometry

The structure in CIF format:
```
data_CsTlHRhSBr
_chemical_formula_sum 'Cs1 Tl1 H1 Rh1 S1 Br1'
_cell_length_a 5.036
_cell_length_b 5.055
_cell_length_c 8.609
_cell_angle_alpha 106.23
_cell_angle_beta 92.14
_cell_angle_gamma 117.01
_symmetry_space_group_name_H-M 'P 1'
_symmetry_Int_Tables_number 1
loop_
_symmetry_equiv_pos_as_xyz
'x,y,z'
loop_
_atom_site_label
_atom_site_type_symbol
_atom_site_fract_x
_atom_site_fract_y
_atom_site_fract_z
Cs1 Cs 0.000 0.000 0.000
Tl1 Tl 0.466 0.094 0.561
H1 H 0.889 0.731 0.626
Rh1 Rh 0.008 0.520 0.527
S1 S 0.252 0.494 0.745
Br1 Br 0.748 0.514 0.264
```

Version ii
Material: CsTlHRhSBr
Method: DFT, PBE
State: optimized geometry

The structure in CIF format:
```
data_CsTlHRhSBr
_chemical_formula_sum 'Cs1 Tl1 H1 Rh1 S1 Br1'
_cell_length_a 5.405
_cell_length_b 4.509
_cell_length_c 7.214
_cell_angle_alpha 90.00
_cell_angle_beta 96.77
_cell_angle_gamma 90.00
_symmetry_space_group_name_H-M 'P 1 m 1'
_symmetry_Int_Tables_number 6
loop_
_symmetry_equiv_pos_as_xyz
'x,y,z'
'x,-y,z'
loop_
_atom_site_label
_atom_site_type_symbol
_atom_site_fract_x
_atom_site_fract_y
_atom_site_fract_z
Cs1 Cs 0.000 0.000 0.000
Tl1 Tl 0.562 0.000 0.439
H1 H 0.289 0.500 0.699
Rh1 Rh 0.070 0.000 0.510
S1 S 0.091 0.500 0.561
Br1 Br 0.519 0.500 0.102
```

Going by the computed energies, the most stable comes first: version ii, version i.